DFT (PBE-GGA) results for crystalline BaCa2Al at its relaxed geometry.

The magnetic moment is 0.000 μB/f.u. Its symmetry is Imm2, No. 44. The calculation puts the total energy at -2.3964 eV per atom. The value obtained for the calculated formation energy is 0.0207 eV per atom.

abc: 7.4286 7.4286 5.8719
angles: 66.70 66.70 30.94
With the nearest neighbours (Å) after each atom.
Fractional coordinates of all 4 atoms:
1 Ca 0.0027 0.0027 0.9974  4 Al 3.55, 4 Ca 3.90-3.96, 2 Ba 3.93
2 Ca 0.8057 0.8057 0.6943  2 Al 3.10
3 Ba 0.2031 0.2031 0.2969  2 Al 3.43, 4 Ca 3.79
4 Al 0.4884 0.4884 0.5115  2 Ca 3.10, 2 Ba 3.43